Below is ScCr2F after structural relaxation, with properties calculated at the PBE+U level.

Cell lengths 8.5944, 8.5944, 4.2791 Å; angles 90.00, 90.00, 90.00 degrees
Closest atoms and distances in Å follow each position.
Space group I-42d (No. 122)
Symmetry-distinct sites (fractional):
Sc 0.0000 0.0000 0.0000  2 F 2.14
Cr 0.1476 0.2500 0.6250  2 F 2.55, 2 Cr 2.77
F 0.0000 0.0000 0.5000  2 Sc 2.14

Results
- total magnetization (μB/f.u.) = 9.12
- volume (Å³ per cell) = 316.1
- energy above the most stable polymorph in this dataset (meV per atom) = 0